Entry 1:
{"formula": "Li2AgHg2", "functional": "GGA-PBE", "state": "relaxed", "space_group": "Ibam", "relative_energy_mev_per_atom": 49, "crystal_system": "orthorhombic", "lattice": [[5.412, 0.000, 0.000], [0.000, 5.559, 0.000], [-2.706, -2.779, 6.728]], "species": ["Ag", "Ag", "Li", "Li", "Li", "Li", "Hg", "Hg", "Hg", "Hg"], "fractional_positions": [[0.250, 0.500, 0.000], [0.750, 0.500, 0.000], [0.323, 0.480, 0.646], [0.823, 0.166, 0.646], [0.177, 0.834, 0.354], [0.677, 0.520, 0.354], [0.619, 0.980, 0.238], [0.381, 0.020, 0.762], [0.881, 0.743, 0.762], [0.119, 0.257, 0.238]]}

Entry 2:
{"formula": "ZrIn2W", "functional": "GGA-PBE", "state": "relaxed", "space_group": "P4mm", "relative_energy_mev_per_atom": 1, "crystal_system": "tetragonal", "lattice": [[-2.836, 2.275, -0.383], [-0.934, -0.576, 3.487], [3.614, 4.804, 1.761]], "species": ["In", "In", "Zr", "W"], "fractional_positions": [[0.500, 0.500, 0.258], [0.000, 0.000, 0.002], [0.500, 0.500, 0.720], [0.000, 0.000, 0.520]]}

Entry 3:
{"formula": "SrCa2SbP", "functional": "GGA-PBE", "state": "relaxed", "space_group": "P4/mmm", "e_form_raw_ev_per_atom": -0.96, "crystal_system": "tetragonal", "lattice": [[5.402, 0.000, 0.000], [0.000, 5.402, 0.000], [0.000, 0.000, 5.725]], "species": ["P", "Sb", "Sr", "Ca", "Ca"], "fractional_positions": [[0.000, 0.000, 0.000], [0.500, 0.500, 0.500], [0.000, 0.000, 0.500], [0.500, 0.000, 0.000], [0.000, 0.500, 0.000]]}

Entry 4:
{"formula": "HfVC2", "functional": "GGA-PBE", "state": "relaxed", "space_group": "R3m", "crystal_system": "trigonal", "lattice": [[-0.885, -2.755, 1.129], [1.707, -1.405, 2.182], [-2.531, 1.058, 4.872]], "species": ["Hf", "V", "C", "C"], "fractional_positions": [[0.672, 0.672, 0.984], [0.496, 0.496, 0.511], [0.242, 0.242, 0.274], [0.090, 0.090, 0.731]]}

DFT total energy values, unit eV per atom, following the record order: -1.659; -6.536; -4.007; -9.743.
Fermi-level density of states values, unit states/eV/f.u., following the record order: 1.6; 3.0; 0.1; 3.3.